An optimized crystal structure of TmLuSnC. Source: OQMD via LeMat-Bulk, functional PBE-GGA.

Cell: 3.548 3.548 15.517 Å, 90.00 90.00 120.00°
Atoms (fractional coordinates):
C1 0.000 0.000 0.000
C2 0.000 0.000 0.500
Lu1 0.333 0.667 0.417
Lu2 0.667 0.333 0.583
Sn1 0.667 0.333 0.251
Sn2 0.333 0.667 0.749
Tm1 0.333 0.667 0.084
Tm2 0.667 0.333 0.916

Results
Total moment ... 0.020 μB per formula unit
VASP energy ... -6.161 eV/atom